Entry 1:
First-principles (meta-GGA SCAN) data for a PBEsol-optimized structure of ScCo2Re, as listed in Alexandria via LeMat-Bulk.

Symmetry: Imm2, No. 44
DFT total energy: -29.797 eV/atom
Crystal system: orthorhombic
Excess energy over the best structure of this formula in the dataset: 180 meV per atom
Total magnetic moment: 0.001 Bohr magnetons per cell

The structure in POSCAR format:
```
ScCo2Re
1.0
-0.1796 -0.9001 -2.5222
1.8446 -3.6503 1.1713
-5.0022 0.4701 1.6166
Co Sc Re
2 1 1
Direct
0.7458 0.2458 0.4917
0.0277 0.0277 0.0554
0.2555 0.7555 0.5110
0.4709 0.4709 0.9419
```

Entry 2:
First-principles (meta-GGA SCAN) data for a PBEsol-optimized structure of BaFeO3, as listed in Alexandria via LeMat-Bulk.

Symmetry: P6_3/mmc, No. 194
Formation energy (no corrections): -2258 meV/atom
DFT total energy: -17.532 eV/atom
Crystal system: hexagonal
Total magnetic moment: 20.000 Bohr magnetons per cell

The structure in POSCAR format:
```
BaFeO3
1.0
5.6017 0.0000 0.0000
-2.8008 4.8512 0.0000
0.0000 0.0000 13.5995
Ba Fe O
6 6 18
Direct
0.0000 0.0000 0.2500
0.3333 0.6667 0.5903
0.6667 0.3333 0.0903
0.0000 0.0000 0.7500
0.3333 0.6667 0.9097
0.6667 0.3333 0.4097
0.3333 0.6667 0.3439
0.0000 0.0000 0.5000
0.3333 0.6667 0.1561
0.6667 0.3333 0.8439
0.0000 0.0000 0.0000
0.6667 0.3333 0.6561
0.8286 0.6573 0.5826
0.8286 0.1714 0.9174
0.8286 0.6573 0.9174
0.1714 0.3427 0.4174
0.3427 0.1714 0.9174
0.6573 0.8286 0.0826
0.9594 0.4797 0.7500
0.4797 0.5203 0.2500
0.1714 0.3427 0.0826
0.1714 0.8286 0.4174
0.5203 0.4797 0.7500
0.4797 0.9594 0.2500
0.1714 0.8286 0.0826
0.8286 0.1714 0.5826
0.6573 0.8286 0.4174
0.5203 0.0406 0.7500
0.3427 0.1714 0.5826
0.0406 0.5203 0.2500
```

Entry 3:
First-principles (meta-GGA SCAN) data for a PBEsol-optimized structure of RbTcPb3, as listed in Alexandria via LeMat-Bulk.

Symmetry: Pm-3m, No. 221
DFT total energy: -56.458 eV/atom
Crystal system: cubic
Total magnetic moment: 1.499 Bohr magnetons per cell

The structure in POSCAR format:
```
RbTcPb3
1.0
-0.8502 -5.0744 1.4782
5.0633 -1.2113 -1.2460
1.5156 1.2002 4.9920
Pb Rb Tc
3 1 1
Direct
0.0000 0.5000 0.0000
0.5000 0.0000 0.0000
0.0000 0.0000 0.5000
0.5000 0.5000 0.5000
0.0000 0.0000 0.0000
```

Entry 4:
First-principles (meta-GGA SCAN) data for a PBEsol-optimized structure of TmAl3, as listed in Alexandria via LeMat-Bulk.

Symmetry: P6_3/mmc, No. 194
DFT total energy: -19.201 eV/atom
Crystal system: hexagonal
Total magnetic moment: 0.198 Bohr magnetons per cell

The structure in POSCAR format:
```
TmAl3
1.0
4.6020 0.0000 0.0000
0.0000 6.1012 0.0000
0.0000 -3.0506 5.2838
Tm Al
2 6
Direct
0.7500 0.3333 0.6667
0.2500 0.6667 0.3333
0.2500 0.1510 0.3020
0.7500 0.3020 0.1510
0.7500 0.8490 0.6980
0.2500 0.1510 0.8490
0.2500 0.6980 0.8490
0.7500 0.8490 0.1510
```

Entry 5:
First-principles (meta-GGA SCAN) data for a PBEsol-optimized structure of RbBaP2O, as listed in Alexandria via LeMat-Bulk.

Symmetry: P4/mmm, No. 123
Formation energy (no corrections): 483 meV/atom
DFT total energy: -16.981 eV/atom
Crystal system: tetragonal
Total magnetic moment: 2.826 Bohr magnetons per cell

The structure in POSCAR format:
```
RbBaP2O
1.0
4.7624 0.0000 0.0000
0.0000 5.4472 0.0000
0.0000 0.0000 5.4472
Ba Rb P O
1 1 2 1
Direct
0.5000 0.5000 0.5000
0.0000 0.0000 0.0000
0.0000 0.5000 0.0000
0.0000 0.0000 0.5000
0.5000 0.0000 0.0000
```

Entry 6:
First-principles (meta-GGA SCAN) data for a PBEsol-optimized structure of LaSc2PdS, as listed in Alexandria via LeMat-Bulk.

Symmetry: P4/mmm, No. 123
Formation energy (no corrections): -442 meV/atom
DFT total energy: -23.238 eV/atom
Crystal system: tetragonal
Total magnetic moment: 0.000 Bohr magnetons per cell

The structure in POSCAR format:
```
LaSc2PdS
1.0
-1.7030 -3.1995 -3.2413
2.4538 -3.5599 2.2247
-4.5938 -1.0255 3.4260
S Sc Pd La
1 2 1 1
Direct
0.5000 0.5000 0.5000
0.5000 0.0000 0.0000
0.0000 0.5000 0.0000
0.0000 0.0000 0.0000
0.0000 0.0000 0.5000
```